A relaxed structure of Eu3Tl, computed with PBE-GGA.

The structure belongs to space group P6_3/mmc (No. 194); the cell edges are 7.3674, 7.3674 and 5.8076 Å and the angles 90.00°, 90.00° and 120.00°. The distinct sites, in fractional coordinates, are Eu at (0.1741, 0.3481, 0.2500) and Tl at (0.3333, 0.6667, 0.7500).

Its formation energy is -0.21 eV per atom. The crystal system is hexagonal. The value obtained for the density is 8032 kg/m³.

A relaxed structure of EuTl2, computed with PBE-GGA.

The structure belongs to space group P2/m (No. 10); the cell edges are 4.953, 4.847 and 7.926 Å and the angles 90.00°, 107.96° and 90.00°. The distinct sites, in fractional coordinates, are Eu at (0.158, 0.000, 0.314), Tl at (0.000, 0.500, 0.000), Tl at (0.331, 0.500, 0.662) and Tl at (0.500, 0.000, 0.000).

Its formation energy is -0.29 eV per atom. The crystal system is monoclinic. The value obtained for the density is 10288 kg/m³.

A relaxed structure of EuTl2, computed with PBE-GGA.

The structure belongs to space group Fd-3m (No. 227, origin choice 2); the cell edges are 9.071, 9.071 and 9.071 Å and the angles 90.00°, 90.00° and 90.00°. The distinct sites, in fractional coordinates, are Eu at (0.125, 0.125, 0.125) and Tl at (0.000, 0.000, 0.500).

Its formation energy is -0.25 eV per atom. The crystal system is cubic. The value obtained for the density is 9978 kg/m³.

A relaxed structure of EuTl2, computed with PBE-GGA.

The structure belongs to space group P6_3/mmc (No. 194); the cell edges are 5.1633, 5.1633 and 8.0103 Å and the angles 90.00°, 90.00° and 120.00°. The distinct sites, in fractional coordinates, are Eu at (0.0000, 0.0000, 0.2500) and Tl at (0.3333, 0.6667, 0.0459).

Its formation energy is -0.32 eV per atom. The crystal system is hexagonal. The value obtained for the density is 10069 kg/m³.

A relaxed structure of EuTm2Tl, computed with PBE-GGA.

The structure belongs to space group P4/mmm (No. 123); the cell edges are 4.929, 4.929 and 4.788 Å and the angles 90.00°, 90.00° and 90.00°. The distinct sites, in fractional coordinates, are Eu at (0.000, 0.000, 0.000), Tm at (0.000, 0.500, 0.500) and Tl at (0.500, 0.500, 0.000).

Its formation energy is -0.12 eV per atom. The crystal system is tetragonal. The value obtained for the density is 9911 kg/m³. As for the energy above the most stable polymorph in this dataset: 0 meV/atom.

A relaxed structure of EuTmTl2, computed with PBE-GGA.

The structure belongs to space group R-3m (No. 166, hexagonal axes); the cell edges are 3.7586, 3.7586 and 29.9852 Å and the angles 90.00°, 90.00° and 120.00°. The distinct sites, in fractional coordinates, are Eu at (0.0000, 0.0000, 0.0000), Tm at (0.0000, 0.0000, 0.5000) and Tl at (0.0000, 0.0000, 0.2465).

Its formation energy is -0.24 eV per atom. The crystal system is trigonal. The value obtained for the density is 9908 kg/m³. As for the energy above the most stable polymorph in this dataset: 131 meV/atom.

A relaxed structure of EuTm2Tl, computed with PBE-GGA.

The structure belongs to space group Fm-3m (No. 225); the cell edges are 7.743, 7.743 and 7.743 Å and the angles 90.00°, 90.00° and 90.00°. The distinct sites, in fractional coordinates, are Eu at (0.000, 0.000, 0.000), Tm at (0.250, 0.250, 0.250) and Tl at (0.000, 0.000, 0.500).

Its formation energy is 0.02 eV per atom. The crystal system is cubic. The value obtained for the density is 9934 kg/m³. As for the energy above the most stable polymorph in this dataset: 139 meV/atom.

A relaxed structure of EuTm2Tl, computed with PBE-GGA.

The structure belongs to space group P4/mmm (No. 123); the cell edges are 3.635, 3.635 and 9.342 Å and the angles 90.00°, 90.00° and 90.00°. The distinct sites, in fractional coordinates, are Eu at (0.000, 0.000, 0.000), Tm at (0.500, 0.500, 0.287) and Tl at (0.000, 0.000, 0.500).

Its formation energy is -0.10 eV per atom. The crystal system is tetragonal. The value obtained for the density is 9337 kg/m³. As for the energy above the most stable polymorph in this dataset: 26 meV/atom.

A relaxed structure of EuTmTl2, computed with PBE-GGA.

The structure belongs to space group Fm-3m (No. 225); the cell edges are 7.726, 7.726 and 7.726 Å and the angles 90.00°, 90.00° and 90.00°. The distinct sites, in fractional coordinates, are Eu at (0.000, 0.000, 0.000), Tm at (0.000, 0.000, 0.500) and Tl at (0.250, 0.250, 0.250).

Its formation energy is -0.34 eV per atom. The crystal system is cubic. The value obtained for the density is 10508 kg/m³. As for the energy above the most stable polymorph in this dataset: 33 meV/atom.

A relaxed structure of EuTmTl2, computed with PBE-GGA.

The structure belongs to space group P4/mmm (No. 123); the cell edges are 3.860, 3.860 and 7.739 Å and the angles 90.00°, 90.00° and 90.00°. The distinct sites, in fractional coordinates, are Eu at (0.000, 0.000, 0.000), Tm at (0.000, 0.000, 0.500) and Tl at (0.500, 0.500, 0.271).

Its formation energy is -0.37 eV per atom. The crystal system is tetragonal. The value obtained for the density is 10509 kg/m³. As for the energy above the most stable polymorph in this dataset: 0 meV/atom.

A relaxed structure of EuYTmTl, computed with PBE-GGA.

The structure belongs to space group F-43m (No. 216); the cell edges are 7.789, 7.789 and 7.789 Å and the angles 90.00°, 90.00° and 90.00°. The distinct sites, in fractional coordinates, are Eu at (0.000, 0.000, 0.000), Y at (0.250, 0.250, 0.750), Tm at (0.250, 0.250, 0.250) and Tl at (0.000, 0.000, 0.500).

Its formation energy is -0.01 eV per atom. The crystal system is cubic. The value obtained for the density is 8634 kg/m³.

A relaxed structure of EuTmTlZn, computed with PBE-GGA.

The structure belongs to space group F-43m (No. 216); the cell edges are 7.519, 7.519 and 7.519 Å and the angles 90.00°, 90.00° and 90.00°. The distinct sites, in fractional coordinates, are Eu at (0.000, 0.000, 0.000), Tm at (0.000, 0.000, 0.500), Tl at (0.250, 0.250, 0.750) and Zn at (0.250, 0.250, 0.250).

Its formation energy is -0.30 eV per atom. The crystal system is cubic. The value obtained for the density is 9231 kg/m³.

A relaxed structure of EuYTl2, computed with PBE-GGA.

The structure belongs to space group Fm-3m (No. 225); the cell edges are 7.771, 7.771 and 7.771 Å and the angles 90.00°, 90.00° and 90.00°. The distinct sites, in fractional coordinates, are Eu at (0.000, 0.000, 0.000), Y at (0.000, 0.000, 0.500) and Tl at (0.250, 0.250, 0.250).

Its formation energy is -0.38 eV per atom. The crystal system is cubic. The value obtained for the density is 9194 kg/m³. As for the energy above the most stable polymorph in this dataset: 33 meV/atom.

A relaxed structure of EuYTl2, computed with PBE-GGA.

The structure belongs to space group P4/mmm (No. 123); the cell edges are 3.888, 3.888 and 7.779 Å and the angles 90.00°, 90.00° and 90.00°. The distinct sites, in fractional coordinates, are Eu at (0.000, 0.000, 0.000), Y at (0.000, 0.000, 0.500) and Tl at (0.500, 0.500, 0.267).

Its formation energy is -0.41 eV per atom. The crystal system is tetragonal. The value obtained for the density is 9174 kg/m³. As for the energy above the most stable polymorph in this dataset: 0 meV/atom.

A relaxed structure of EuYTl4, computed with PBE-GGA.

The structure belongs to space group F-43m (No. 216); the cell edges are 8.909, 8.909 and 8.909 Å and the angles 90.00°, 90.00° and 90.00°. The distinct sites, in fractional coordinates, are Eu at (0.000, 0.000, 0.000), Y at (0.250, 0.250, 0.250) and Tl at (0.125, 0.125, 0.625).

Its formation energy is -0.12 eV per atom. The crystal system is cubic. The value obtained for the density is 9942 kg/m³.

A relaxed structure of EuYTlZn, computed with PBE-GGA.

The structure belongs to space group F-43m (No. 216); the cell edges are 7.572, 7.572 and 7.572 Å and the angles 90.00°, 90.00° and 90.00°. The distinct sites, in fractional coordinates, are Eu at (0.000, 0.000, 0.000), Y at (0.000, 0.000, 0.500), Tl at (0.250, 0.250, 0.750) and Zn at (0.250, 0.250, 0.250).

Its formation energy is -0.32 eV per atom. The crystal system is cubic. The value obtained for the density is 7812 kg/m³.

A relaxed structure of YbEuTl2, computed with PBE-GGA.

The structure belongs to space group I4/mmm (No. 139); the cell edges are 5.531, 5.531 and 7.838 Å and the angles 90.00°, 90.00° and 90.00°. The distinct sites, in fractional coordinates, are Yb at (0.000, 0.000, 0.000), Eu at (0.000, 0.000, 0.500) and Tl at (0.000, 0.500, 0.250).

Its formation energy is -0.46 eV per atom. The crystal system is tetragonal. The value obtained for the density is 10165 kg/m³.

A relaxed structure of EuTl2Zn, computed with PBE-GGA.

The structure belongs to space group P4/mmm (No. 123); the cell edges are 4.893, 4.893 and 4.482 Å and the angles 90.00°, 90.00° and 90.00°. The distinct sites, in fractional coordinates, are Eu at (0.000, 0.000, 0.000), Tl at (0.000, 0.500, 0.500) and Zn at (0.500, 0.500, 0.000).

Its formation energy is -0.19 eV per atom. The crystal system is tetragonal. The value obtained for the density is 9690 kg/m³.

A relaxed structure of EuTlZn4, computed with PBE-GGA.

The structure belongs to space group F-43m (No. 216); the cell edges are 7.946, 7.946 and 7.946 Å and the angles 90.00°, 90.00° and 90.00°. The distinct sites, in fractional coordinates, are Eu at (0.000, 0.000, 0.000), Tl at (0.250, 0.250, 0.750) and Zn at (0.125, 0.125, 0.375).

Its formation energy is -0.12 eV per atom. The crystal system is cubic. The value obtained for the density is 8181 kg/m³.

A relaxed structure of Eu2TlZn, computed with PBE-GGA.

The structure belongs to space group Fm-3m (No. 225); the cell edges are 7.766, 7.766 and 7.766 Å and the angles 90.00°, 90.00° and 90.00°. The distinct sites, in fractional coordinates, are Eu at (0.250, 0.250, 0.250), Tl at (0.000, 0.000, 0.000) and Zn at (0.000, 0.000, 0.500).

Its formation energy is -0.34 eV per atom. The crystal system is cubic. The value obtained for the density is 8135 kg/m³.

A relaxed structure of Eu2TlZn, computed with PBE-GGA.

The structure belongs to space group P4/mmm (No. 123); the cell edges are 3.834, 3.834 and 7.920 Å and the angles 90.00°, 90.00° and 90.00°. The distinct sites, in fractional coordinates, are Eu at (0.000, 0.000, 0.233), Tl at (0.500, 0.500, 0.500) and Zn at (0.500, 0.500, 0.000).

Its formation energy is -0.34 eV per atom. The crystal system is tetragonal. The value obtained for the density is 8182 kg/m³.

A relaxed structure of EuTl2Zn, computed with PBE-GGA.

The structure belongs to space group P4/mmm (No. 123); the cell edges are 3.751, 3.751 and 7.576 Å and the angles 90.00°, 90.00° and 90.00°. The distinct sites, in fractional coordinates, are Eu at (0.000, 0.000, 0.000), Tl at (0.500, 0.500, 0.289) and Zn at (0.000, 0.000, 0.500).

Its formation energy is -0.13 eV per atom. The crystal system is tetragonal. The value obtained for the density is 9754 kg/m³.

A relaxed structure of EuTm3, computed with PBE-GGA.

The structure belongs to space group Pmm2 (No. 25); the cell edges are 3.583, 5.735 and 6.269 Å and the angles 90.00°, 90.00° and 90.00°. The distinct sites, in fractional coordinates, are Eu at (0.000, 0.000, 0.000), Tm at (0.000, 0.500, 0.662), Tm at (0.500, 0.000, 0.498) and Tm at (0.500, 0.500, 0.176).

Its formation energy is 0.08 eV per atom. The crystal system is orthorhombic. The value obtained for the density is 8492 kg/m³. As for the energy above the most stable polymorph in this dataset: 2 meV/atom.

A relaxed structure of EuTm3, computed with PBE-GGA.

The structure belongs to space group I4/mmm (No. 139); the cell edges are 5.033, 5.033 and 10.025 Å and the angles 90.00°, 90.00° and 90.00°. The distinct sites, in fractional coordinates, are Eu at (0.000, 0.000, 0.000), Tm at (0.000, 0.000, 0.500) and Tm at (0.000, 0.500, 0.250).

Its formation energy is 0.10 eV per atom. The crystal system is tetragonal. The value obtained for the density is 8614 kg/m³. As for the energy above the most stable polymorph in this dataset: 30 meV/atom.

A relaxed structure of Eu2Tm, computed with PBE-GGA.

The structure belongs to space group I4/mmm (No. 139); the cell edges are 3.710, 3.710 and 16.093 Å and the angles 90.00°, 90.00° and 90.00°. The distinct sites, in fractional coordinates, are Eu at (0.000, 0.000, 0.160) and Tm at (0.000, 0.000, 0.500).

Its formation energy is 0.10 eV per atom. The crystal system is tetragonal. The value obtained for the density is 7089 kg/m³. As for the energy above the most stable polymorph in this dataset: 0 meV/atom.

A relaxed structure of EuTm6, computed with PBE-GGA.

The structure belongs to space group Im-3m (No. 229); the cell edges are 8.395, 8.395 and 8.395 Å and the angles 90.00°, 90.00° and 90.00°. The distinct sites, in fractional coordinates, are Eu at (0.000, 0.000, 0.000) and Tm at (0.000, 0.250, 0.500).

Its formation energy is 1.42 eV per atom. The crystal system is cubic. The value obtained for the density is 6543 kg/m³.

A relaxed structure of EuTm3, computed with PBE-GGA.

The structure belongs to space group Fm-3m (No. 225); the cell edges are 8.014, 8.014 and 8.014 Å and the angles 90.00°, 90.00° and 90.00°. The distinct sites, in fractional coordinates, are Eu at (0.000, 0.000, 0.000), Tm at (0.000, 0.000, 0.500) and Tm at (0.250, 0.250, 0.250).

Its formation energy is 0.17 eV per atom. The crystal system is cubic. The value obtained for the density is 8502 kg/m³. As for the energy above the most stable polymorph in this dataset: 97 meV/atom.

A relaxed structure of EuTm3, computed with PBE-GGA.

The structure belongs to space group Pm-3m (No. 221); the cell edges are 5.024, 5.024 and 5.024 Å and the angles 90.00°, 90.00° and 90.00°. The distinct sites, in fractional coordinates, are Eu at (0.000, 0.000, 0.000) and Tm at (0.000, 0.500, 0.500).

Its formation energy is 0.11 eV per atom. The crystal system is cubic. The value obtained for the density is 8624 kg/m³. As for the energy above the most stable polymorph in this dataset: 35 meV/atom.

A relaxed structure of Eu2Tm, computed with PBE-GGA.

The structure belongs to space group Fd-3m (No. 227, origin choice 2); the cell edges are 9.638, 9.638 and 9.638 Å and the angles 90.00°, 90.00° and 90.00°. The distinct sites, in fractional coordinates, are Eu at (0.000, 0.000, 0.000) and Tm at (0.125, 0.125, 0.625).

Its formation energy is 0.32 eV per atom. The crystal system is cubic. The value obtained for the density is 7016 kg/m³. As for the energy above the most stable polymorph in this dataset: 225 meV/atom.

A relaxed structure of EuTm3, computed with PBE-GGA.

The structure belongs to space group Imm2 (No. 44); the cell edges are 3.594, 11.417 and 6.244 Å and the angles 90.00°, 90.00° and 90.00°. The distinct sites, in fractional coordinates, are Eu at (0.000, 0.000, 0.000), Tm at (0.000, 0.244, 0.662) and Tm at (0.000, 0.500, 0.997).

Its formation energy is 0.07 eV per atom. The crystal system is orthorhombic. The value obtained for the density is 8540 kg/m³. As for the energy above the most stable polymorph in this dataset: 0 meV/atom.